[1]
Here is crystalline BeIBrN2 at its relaxed geometry from Alexandria via LeMat-Bulk. Energies are from PBE.

```
BeIBrN2
1.0
4.008 0.000 0.000
0.000 4.008 0.000
0.000 0.000 6.031
Be I Br N
1 1 1 2
Direct
0.000 0.000 0.000
0.000 0.000 0.500
0.500 0.500 0.500
0.000 0.500 0.000
0.500 0.000 0.000
```

Computed properties:
* total DFT energy (no corrections): -3.182 eV per atom
* excess energy over the best structure of this formula in the dataset: 0 meV/atom
* E_form (uncorrected): 1.538 eV/atom
* density: 4.18 g/cm3
* total moment: 4.0 μB per formula unit

=====

[2]
Here is crystalline PmPr2Sn4 at its relaxed geometry from Alexandria via LeMat-Bulk. Energies are from PBE.

```
PmPr2Sn4
1.0
4.475 0.000 0.000
0.000 4.475 0.000
0.000 0.000 11.068
Pm Pr Sn
1 2 4
Direct
0.000 0.000 0.000
0.000 0.500 0.730
0.500 0.000 0.270
0.000 0.000 0.500
0.000 0.500 0.207
0.500 0.000 0.793
0.500 0.500 0.500
```

Computed properties:
* total DFT energy (no corrections): -4.744 eV per atom
* density: 6.75 g/cm3
* formation energy: -0.41 eV per atom
* total moment: 0.0 μB per formula unit

=====

[3]
Here is crystalline MgTi2ZnC at its relaxed geometry from Alexandria via LeMat-Bulk. Energies are from PBE.

```
MgTi2ZnC
1.0
4.763 0.000 0.000
0.000 4.763 0.000
0.000 0.000 4.424
Mg Ti Zn C
1 2 1 1
Direct
0.000 0.000 0.000
0.000 0.500 0.000
0.500 0.000 0.000
0.000 0.000 0.500
0.500 0.500 0.500
```

Computed properties:
* total DFT energy (no corrections): -3.335 eV per atom
* excess energy over the best structure of this formula in the dataset: 2461 meV/atom
* density: 3.27 g/cm3
* formation energy: 2.24 eV per atom
* total moment: 0.0 μB per formula unit

=====

[4]
Here is crystalline PmSmGaHg at its relaxed geometry from Alexandria via LeMat-Bulk. Energies are from PBE.

```
PmSmGaHg
1.0
3.655 0.000 0.000
0.000 3.655 0.000
0.000 0.000 7.776
Pm Sm Ga Hg
1 1 1 1
Direct
0.000 0.000 0.000
0.000 0.000 0.530
0.500 0.500 0.764
0.500 0.500 0.269
```

Computed properties:
* total DFT energy (no corrections): -3.722 eV per atom
* excess energy over the best structure of this formula in the dataset: 0 meV/atom
* density: 9.04 g/cm3
* formation energy: -0.52 eV per atom
* total moment: 0.0 μB per formula unit

=====

[5]
Here is crystalline Y2ZrIr at its relaxed geometry from Alexandria via LeMat-Bulk. Energies are from PBE.

```
Y2ZrIr
1.0
3.480 0.000 0.000
0.000 3.480 0.000
0.000 0.000 7.940
Y Zr Ir
2 1 1
Direct
0.000 0.000 0.207
0.000 0.000 0.793
0.500 0.500 0.500
0.500 0.500 0.000
```

Computed properties:
* total DFT energy (no corrections): -7.883 eV per atom
* excess energy over the best structure of this formula in the dataset: 137 meV/atom
* density: 7.97 g/cm3
* formation energy: -0.30 eV per atom
* total moment: 0.0 μB per formula unit

=====

[6]
Here is crystalline AcLaPrGa at its relaxed geometry from Alexandria via LeMat-Bulk. Energies are from PBE.

```
AcLaPrGa
1.0
0.000 4.005 4.005
4.005 0.000 4.005
4.005 4.005 0.000
Ac La Pr Ga
1 1 1 1
Direct
0.000 0.000 0.000
0.750 0.750 0.750
0.250 0.250 0.250
0.500 0.500 0.500
```

Computed properties:
* total DFT energy (no corrections): -4.232 eV per atom
* density: 7.45 g/cm3
* formation energy: -0.02 eV per atom
* total moment: 0.0 μB per formula unit

=====

[7]
Here is crystalline CsSrLa2Sc at its relaxed geometry from Alexandria via LeMat-Bulk. Energies are from PBE.

```
CsSrLa2Sc
1.0
5.921 0.000 0.000
0.000 5.921 0.000
0.000 0.000 6.073
Cs Sr La Sc
1 1 2 1
Direct
0.000 0.000 0.000
0.000 0.000 0.500
0.000 0.500 0.000
0.500 0.000 0.000
0.500 0.500 0.500
```

Computed properties:
* total DFT energy (no corrections): -2.706 eV per atom
* density: 4.24 g/cm3
* formation energy: 1.04 eV per atom
* total moment: 0.0 μB per formula unit

=====

[8]
Here is crystalline TmMgCdPt at its relaxed geometry from Alexandria via LeMat-Bulk. Energies are from PBE.

```
TmMgCdPt
1.0
0.000 3.436 3.436
3.436 0.000 3.436
3.436 3.436 0.000
Tm Mg Cd Pt
1 1 1 1
Direct
0.000 0.000 0.000
0.500 0.500 0.500
0.250 0.250 0.250
0.750 0.750 0.750
```

Computed properties:
* total DFT energy (no corrections): -3.908 eV per atom
* density: 10.25 g/cm3
* formation energy: -0.65 eV per atom
* total moment: 0.0 μB per formula unit